# 1
The following is a DFT calculation (GGA-PBEsol) of BaSrBi3 after structural relaxation.

Lattice parameters (Å, degrees): 15.455 6.912 6.741 90.00 90.00 90.00
Positions (direct):
Ba 0.250 0.000 0.050
Ba 0.250 0.500 0.450
Ba 0.750 0.000 0.950
Ba 0.750 0.500 0.550
Sr 0.001 0.250 0.250
Sr 0.499 0.750 0.250
Sr 0.501 0.250 0.750
Sr 0.999 0.750 0.750
Bi 0.058 0.750 0.250
Bi 0.151 0.053 0.569
Bi 0.151 0.447 0.931
Bi 0.349 0.553 0.931
Bi 0.349 0.947 0.569
Bi 0.442 0.250 0.250
Bi 0.558 0.750 0.750
Bi 0.651 0.053 0.431
Bi 0.651 0.447 0.069
Bi 0.849 0.553 0.069
Bi 0.849 0.947 0.431
Bi 0.942 0.250 0.750

Results
Energy relative to the elements   -0.7599 eV per atom
Magnetization   0.00 μB per cell



# 2
The following is a DFT calculation (GGA-PBEsol) of Si3Ru4 after structural relaxation.

Lattice parameters (Å, degrees): 5.147 4.007 17.068 90.00 90.00 90.00
Positions (direct):
Si 0.004 0.250 0.104
Si 0.129 0.750 0.311
Si 0.153 0.250 0.534
Si 0.347 0.750 0.034
Si 0.371 0.250 0.811
Si 0.496 0.750 0.604
Si 0.504 0.250 0.396
Si 0.629 0.750 0.189
Si 0.653 0.250 0.966
Si 0.847 0.750 0.466
Si 0.871 0.250 0.689
Si 0.996 0.750 0.896
Ru 0.009 0.250 0.393
Ru 0.153 0.750 0.764
Ru 0.159 0.750 0.165
Ru 0.173 0.250 0.970
Ru 0.327 0.750 0.470
Ru 0.341 0.250 0.665
Ru 0.347 0.250 0.264
Ru 0.491 0.750 0.893
Ru 0.509 0.250 0.107
Ru 0.653 0.750 0.736
Ru 0.659 0.750 0.335
Ru 0.673 0.250 0.530
Ru 0.827 0.750 0.030
Ru 0.841 0.250 0.835
Ru 0.847 0.250 0.236
Ru 0.991 0.750 0.607

Results
E_form (uncorrected)   -595 meV per atom
Magnetization   0.00 μB per cell



# 3
The following is a DFT calculation (GGA-PBEsol) of CrNiIr2 after structural relaxation.

Lattice parameters (Å, degrees): 2.642 3.575 5.288 90.00 90.00 90.00
Positions (direct):
Cr 0.000 0.000 0.000
Ni 0.000 0.000 0.500
Ir 0.500 0.500 0.250
Ir 0.500 0.500 0.750

Results
Energy relative to the elements   -0.1203 eV per atom
Magnetization   0.20 μB per cell